# 1
The following is a DFT calculation (GGA-PBE) of SrMn2AgHg after structural relaxation.

Computed properties:
Calculated formation energy: 1.46 eV/atom
Magnetization: 9.1 μB per formula unit

Cell lengths 6.1986, 6.1986, 5.9493 Å; angles 90.00, 90.00, 90.00 degrees
Last column: nearest neighbours and their distance in Å.
Space group P4/mmm (No. 123)
Asymmetric unit:
Sr (0.0000, 0.0000, 0.0000) (multiplicity 1)  2 Ag 2.97, 4 Mn 3.10
Mn (0.0000, 0.5000, 0.0000) (multiplicity 2)  2 Sr 3.10
Ag (0.0000, 0.0000, 0.5000) (multiplicity 1)  2 Sr 2.97
Hg (0.5000, 0.5000, 0.5000) (multiplicity 1)  8 Mn 4.30, 4 Ag 4.38

# 2
The following is a DFT calculation (GGA-PBE) of UH2Br2 after structural relaxation.

Computed properties:
Magnetization: 2.0 μB per formula unit
DFT total energy: -5.08 eV/atom

Cell lengths 3.7030, 3.7030, 24.6541 Å; angles 90.00, 90.00, 120.00 degrees
Last column: nearest neighbours and their distance in Å.
Space group R-3m (No. 166, hexagonal axes)
Asymmetric unit:
U (0.0000, 0.0000, 0.0000) (multiplicity 3)  6 H 2.18
H (0.0000, 0.0000, 0.3151) (multiplicity 6)  3 U 2.18, 3 H 2.32
Br (0.0000, 0.0000, 0.4205) (multiplicity 6)  4 H 2.60-2.73

# 3
The following is a DFT calculation (GGA-PBE) of K2NbPb2S6 after structural relaxation.

Computed properties:
Formation energy (no corrections): -0.822 eV/atom
Magnetization: 0.0 μB per formula unit

Cell lengths 7.0230, 11.8525, 7.8216 Å; angles 90.00, 108.48, 90.00 degrees
Last column: nearest neighbours and their distance in Å.
Space group C2/m (No. 12)
Asymmetric unit:
K (0.0000, 0.1754, 0.0000) (multiplicity 4)  6 S 3.18-3.31
Nb (0.0000, 0.0000, 0.5000) (multiplicity 2)  6 S 2.48-2.50
Pb (0.0000, 0.3321, 0.5000) (multiplicity 4)  6 S 2.83-2.88
S (0.2173, 0.1475, 0.6971) (multiplicity 8)  1 Nb 2.50
S (0.2204, 0.0000, 0.3069) (multiplicity 4)  1 Nb 2.48

Question: What is the formula in the third record?
Answer: K2NbPb2S6